A plane-wave DFT calculation with PBE was carried out for crystalline Pr2HoAl at its relaxed geometry.

Lattice parameters (Å, degrees): 5.376 7.081 7.081 120.37 90.00 90.00
Fractional positions:
1 Ho 0.500 0.179 0.354
2 Ho 0.500 0.646 0.821
3 Pr 0.000 0.819 0.645
4 Pr 0.500 0.177 0.823
5 Pr 0.000 0.355 0.181
6 Pr 0.000 0.821 0.179
7 Al 0.500 0.664 0.336
8 Al 0.000 0.338 0.662

ΔE to the lowest computed polymorph ... 0 meV/atom
ΔE_f ... -0.17 eV/atom
Uncorrected energy ... -4.638 eV/atom


A plane-wave DFT calculation with PBE was carried out for crystalline PrHo5Al4 at its relaxed geometry.

Lattice parameters (Å, degrees): 3.570 3.570 19.761 90.00 90.00 90.00
Fractional positions:
1 Al 0.000 0.000 0.774
2 Al 0.000 0.000 0.409
3 Al 0.000 0.000 0.591
4 Al 0.000 0.000 0.226
5 Ho 0.500 0.500 0.318
6 Ho 0.500 0.500 0.135
7 Ho 0.500 0.500 0.500
8 Ho 0.500 0.500 0.865
9 Ho 0.500 0.500 0.682
10 Pr 0.000 0.000 0.000

ΔE_f ... -0.31 eV/atom
Uncorrected energy ... -4.576 eV/atom


A plane-wave DFT calculation with PBE was carried out for crystalline Pr2Ho4Al at its relaxed geometry.

Lattice parameters (Å, degrees): 3.612 3.612 19.373 84.65 84.65 60.00
Fractional positions:
1 Ho 0.705 0.705 0.884
2 Ho 0.295 0.295 0.116
3 Ho 0.088 0.088 0.735
4 Ho 0.912 0.912 0.265
5 Pr 0.805 0.805 0.584
6 Pr 0.195 0.195 0.416
7 Al 0.000 0.000 0.000

ΔE_f ... -0.03 eV/atom
Uncorrected energy ... -4.543 eV/atom


A plane-wave DFT calculation with PBE was carried out for crystalline Pr2HoAl6 at its relaxed geometry.

Lattice parameters (Å, degrees): 3.676 7.970 7.970 120.00 90.00 90.00
Fractional positions:
1 Pr 0.000 0.667 0.333
2 Pr 0.000 0.333 0.667
3 Al 0.500 0.000 0.670
4 Al 0.500 0.330 0.000
5 Al 0.500 0.670 0.670
6 Al 0.500 0.330 0.330
7 Al 0.500 0.000 0.330
8 Al 0.500 0.670 0.000
9 Ho 0.000 0.000 0.000

ΔE to the lowest computed polymorph ... 0 meV/atom
ΔE_f ... -0.46 eV/atom
Uncorrected energy ... -4.529 eV/atom


A plane-wave DFT calculation with PBE was carried out for crystalline PrHo12Al3 at its relaxed geometry.

Lattice parameters (Å, degrees): 4.781 4.781 19.553 90.00 90.00 90.00
Fractional positions:
1 Ho 0.500 0.000 0.621
2 Ho 0.500 0.000 0.863
3 Ho 0.500 0.000 0.137
4 Ho 0.000 0.500 0.137
5 Ho 0.500 0.500 0.741
6 Ho 0.500 0.500 0.259
7 Ho 0.000 0.500 0.621
8 Ho 0.500 0.000 0.379
9 Ho 0.500 0.500 0.500
10 Ho 0.500 0.500 0.000
11 Ho 0.000 0.500 0.379
12 Ho 0.000 0.500 0.863
13 Al 0.000 0.000 0.500
14 Al 0.000 0.000 0.259
15 Al 0.000 0.000 0.741
16 Pr 0.000 0.000 0.000

ΔE_f ... -0.12 eV/atom
Uncorrected energy ... -4.556 eV/atom


A plane-wave DFT calculation with PBE was carried out for crystalline Pr15Ho4Al at its relaxed geometry.

Lattice parameters (Å, degrees): 5.126 5.126 25.826 90.00 90.00 90.00
Fractional positions:
1 Al 0.000 0.000 0.000
2 Pr 0.500 0.000 0.094
3 Pr 0.500 0.000 0.298
4 Pr 0.000 0.500 0.906
5 Pr 0.500 0.500 0.399
6 Pr 0.000 0.500 0.702
7 Pr 0.000 0.500 0.298
8 Pr 0.500 0.000 0.500
9 Pr 0.000 0.500 0.500
10 Pr 0.500 0.500 0.196
11 Pr 0.500 0.500 0.000
12 Pr 0.500 0.000 0.702
13 Pr 0.000 0.500 0.094
14 Pr 0.500 0.500 0.601
15 Pr 0.500 0.500 0.804
16 Pr 0.500 0.000 0.906
17 Ho 0.000 0.000 0.803
18 Ho 0.000 0.000 0.399
19 Ho 0.000 0.000 0.601
20 Ho 0.000 0.000 0.197

ΔE_f ... -0.01 eV/atom
Uncorrected energy ... -4.700 eV/atom


A plane-wave DFT calculation with PBE was carried out for crystalline Pr2HoAl3 at its relaxed geometry.

Lattice parameters (Å, degrees): 6.135 6.135 9.328 90.00 90.00 120.00
Fractional positions:
1 Al 0.634 0.817 0.250
2 Al 0.183 0.817 0.250
3 Al 0.183 0.366 0.250
4 Al 0.817 0.183 0.750
5 Al 0.817 0.634 0.750
6 Al 0.366 0.183 0.750
7 Pr 0.667 0.333 0.435
8 Pr 0.333 0.667 0.565
9 Pr 0.667 0.333 0.065
10 Pr 0.333 0.667 0.935
11 Ho 0.000 0.000 0.000
12 Ho 0.000 0.000 0.500

ΔE to the lowest computed polymorph ... 0 meV/atom
ΔE_f ... -0.37 eV/atom
Uncorrected energy ... -4.594 eV/atom


A plane-wave DFT calculation with PBE was carried out for crystalline Pr7HoAl4 at its relaxed geometry.

Lattice parameters (Å, degrees): 5.711 9.427 7.649 77.63 68.08 72.37
Fractional positions:
1 Al 0.674 0.669 0.983
2 Al 0.551 0.241 0.656
3 Al 0.449 0.759 0.344
4 Al 0.326 0.331 0.017
5 Pr 0.934 0.386 0.746
6 Pr 0.294 0.649 0.764
7 Pr 0.066 0.614 0.254
8 Pr 0.706 0.351 0.236
9 Pr 0.795 0.881 0.529
10 Pr 0.205 0.119 0.471
11 Pr 0.500 0.000 0.000
12 Ho 0.000 0.000 0.000

ΔE_f ... -0.06 eV/atom
Uncorrected energy ... -4.482 eV/atom


A plane-wave DFT calculation with PBE was carried out for crystalline Pr4Ho15Al at its relaxed geometry.

Lattice parameters (Å, degrees): 4.977 4.977 25.123 90.00 90.00 90.00
Fractional positions:
1 Ho 0.500 0.500 0.000
2 Ho 0.500 0.000 0.908
3 Ho 0.500 0.500 0.808
4 Ho 0.000 0.500 0.500
5 Ho 0.500 0.000 0.500
6 Ho 0.000 0.500 0.296
7 Ho 0.500 0.000 0.704
8 Ho 0.500 0.500 0.192
9 Ho 0.000 0.500 0.704
10 Ho 0.500 0.000 0.092
11 Ho 0.500 0.000 0.296
12 Ho 0.000 0.500 0.092
13 Ho 0.000 0.500 0.908
14 Ho 0.500 0.500 0.398
15 Ho 0.500 0.500 0.602
16 Pr 0.000 0.000 0.398
17 Pr 0.000 0.000 0.602
18 Pr 0.000 0.000 0.805
19 Pr 0.000 0.000 0.195
20 Al 0.000 0.000 0.000

ΔE_f ... 0.00 eV/atom
Uncorrected energy ... -4.580 eV/atom


A plane-wave DFT calculation with PBE was carried out for crystalline PrHoAl4 at its relaxed geometry.

Lattice parameters (Å, degrees): 5.636 5.636 5.636 60.00 60.00 60.00
Fractional positions:
1 Ho 0.250 0.250 0.250
2 Al 0.625 0.625 0.625
3 Al 0.625 0.625 0.126
4 Al 0.126 0.625 0.625
5 Al 0.625 0.126 0.625
6 Pr 0.000 0.000 0.000

ΔE_f ... -0.49 eV/atom
Uncorrected energy ... -4.547 eV/atom


A plane-wave DFT calculation with PBE was carried out for crystalline Pr2HoAl2 at its relaxed geometry.

Lattice parameters (Å, degrees): 4.955 5.873 5.873 71.32 65.05 65.05
Fractional positions:
1 Pr 0.802 0.698 0.698
2 Pr 0.198 0.302 0.302
3 Al 0.500 0.698 0.302
4 Al 0.500 0.302 0.698
5 Ho 0.000 0.000 0.000

ΔE_f ... -0.30 eV/atom
Uncorrected energy ... -4.626 eV/atom


A plane-wave DFT calculation with PBE was carried out for crystalline Pr2Ho8Al at its relaxed geometry.

Lattice parameters (Å, degrees): 5.426 7.470 9.749 112.48 106.16 90.00
Fractional positions:
1 Ho 0.000 0.243 0.000
2 Ho 0.633 0.871 0.265
3 Ho 0.000 0.757 0.000
4 Ho 0.180 0.180 0.360
5 Ho 0.632 0.395 0.264
6 Ho 0.368 0.605 0.736
7 Ho 0.367 0.129 0.735
8 Ho 0.820 0.820 0.640
9 Pr 0.807 0.307 0.615
10 Pr 0.193 0.693 0.385
11 Al 0.500 0.000 0.000

ΔE_f ... 0.03 eV/atom
Uncorrected energy ... -4.513 eV/atom


A plane-wave DFT calculation with PBE was carried out for crystalline PrHo2Al at its relaxed geometry.

Lattice parameters (Å, degrees): 5.399 5.399 5.399 60.00 60.00 60.00
Each line ends with the local moment (μB).
Fractional positions:
1 Al 0.500 0.500 0.500  0.00
2 Ho 0.250 0.250 0.250  0.29
3 Ho 0.750 0.750 0.750  0.29
4 Pr 0.000 0.000 0.000  0.33

ΔE to the lowest computed polymorph ... 211 meV/atom
ΔE_f ... 0.02 eV/atom
Uncorrected energy ... -4.404 eV/atom


A plane-wave DFT calculation with PBE was carried out for crystalline PrHo3Al at its relaxed geometry.

Lattice parameters (Å, degrees): 3.666 8.658 9.674 104.30 100.92 89.98
Fractional positions:
1 Al 0.011 0.670 0.278
2 Al 0.820 0.555 0.897
3 Ho 0.415 0.823 0.088
4 Ho 0.614 0.920 0.485
5 Ho 0.415 0.401 0.087
6 Ho 0.231 0.724 0.719
7 Ho 0.599 0.501 0.456
8 Ho 0.217 0.305 0.691
9 Pr 0.813 0.062 0.883
10 Pr 0.017 0.162 0.292

ΔE to the lowest computed polymorph ... 0 meV/atom
ΔE_f ... -0.14 eV/atom
Uncorrected energy ... -4.590 eV/atom


A plane-wave DFT calculation with PBE was carried out for crystalline PrHo2Al at its relaxed geometry.

Lattice parameters (Å, degrees): 4.795 4.818 4.818 90.00 90.00 90.00
Fractional positions:
1 Ho 0.000 0.500 0.000
2 Ho 0.000 0.000 0.500
3 Pr 0.500 0.500 0.500
4 Al 0.500 0.000 0.000

ΔE to the lowest computed polymorph ... 29 meV/atom
ΔE_f ... -0.17 eV/atom
Uncorrected energy ... -4.586 eV/atom


A plane-wave DFT calculation with PBE was carried out for crystalline Pr3HoAl8 at its relaxed geometry.

Lattice parameters (Å, degrees): 5.664 5.664 9.336 90.00 90.00 120.00
Fractional positions:
1 Ho 0.000 0.000 0.568
2 Pr 0.667 0.333 0.433
3 Pr 0.000 0.000 0.932
4 Pr 0.667 0.333 0.069
5 Al 0.992 0.496 0.746
6 Al 0.676 0.838 0.253
7 Al 0.333 0.667 0.998
8 Al 0.504 0.496 0.746
9 Al 0.333 0.667 0.502
10 Al 0.162 0.324 0.253
11 Al 0.162 0.838 0.253
12 Al 0.504 0.008 0.746

ΔE to the lowest computed polymorph ... 11 meV/atom
ΔE_f ... -0.48 eV/atom
Uncorrected energy ... -4.548 eV/atom


A plane-wave DFT calculation with PBE was carried out for crystalline PrHo4Al2 at its relaxed geometry.

Lattice parameters (Å, degrees): 5.319 5.319 8.399 71.54 71.54 60.00
Fractional positions:
1 Ho 0.845 0.845 0.464
2 Ho 0.155 0.155 0.536
3 Ho 0.580 0.580 0.261
4 Ho 0.420 0.420 0.739
5 Pr 0.000 0.000 0.000
6 Al 0.718 0.718 0.846
7 Al 0.282 0.282 0.154

ΔE to the lowest computed polymorph ... 0 meV/atom
ΔE_f ... -0.20 eV/atom
Uncorrected energy ... -4.570 eV/atom


A plane-wave DFT calculation with PBE was carried out for crystalline PrHo5Al at its relaxed geometry.

Lattice parameters (Å, degrees): 6.162 7.732 7.520 120.94 114.19 90.00
Fractional positions:
1 Ho 0.336 0.191 0.000
2 Ho 0.470 0.257 0.513
3 Ho 0.336 0.809 0.000
4 Ho 0.035 0.500 0.000
5 Ho 0.956 0.743 0.487
6 Al 0.572 0.500 0.000
7 Pr 0.825 0.000 0.000

ΔE_f ... 0.70 eV/atom
Uncorrected energy ... -3.789 eV/atom


A plane-wave DFT calculation with PBE was carried out for crystalline Pr5HoAl3 at its relaxed geometry.

Lattice parameters (Å, degrees): 6.873 9.353 9.352 120.00 90.00 90.00
Fractional positions:
1 Al 0.750 0.325 0.325
2 Al 0.250 0.325 0.000
3 Al 0.750 0.675 0.000
4 Al 0.250 0.000 0.325
5 Al 0.250 0.675 0.675
6 Al 0.750 0.000 0.675
7 Pr 0.750 0.664 0.664
8 Pr 0.000 0.666 0.333
9 Pr 0.750 0.335 0.000
10 Pr 0.500 0.334 0.667
11 Pr 0.250 0.665 0.000
12 Pr 0.000 0.334 0.667
13 Pr 0.500 0.666 0.333
14 Pr 0.250 0.000 0.664
15 Pr 0.250 0.336 0.336
16 Pr 0.750 0.000 0.336
17 Ho 0.000 0.000 0.000
18 Ho 0.500 0.000 0.000

ΔE_f ... -0.22 eV/atom
Uncorrected energy ... -4.634 eV/atom


A plane-wave DFT calculation with PBE was carried out for crystalline PrHo5Al3 at its relaxed geometry.

Lattice parameters (Å, degrees): 6.658 9.110 9.110 120.00 90.00 90.00
Fractional positions:
1 Ho 0.250 0.332 0.332
2 Ho 0.250 0.000 0.668
3 Ho 0.250 0.668 0.000
4 Ho 0.750 0.332 0.000
5 Ho 0.500 0.333 0.667
6 Ho 0.000 0.667 0.333
7 Ho 0.750 0.000 0.332
8 Ho 0.500 0.667 0.333
9 Ho 0.750 0.668 0.668
10 Ho 0.000 0.333 0.667
11 Pr 0.000 0.000 0.000
12 Pr 0.500 0.000 0.000
13 Al 0.250 0.000 0.341
14 Al 0.750 0.659 0.000
15 Al 0.250 0.659 0.659
16 Al 0.250 0.341 0.000
17 Al 0.750 0.341 0.341
18 Al 0.750 0.000 0.659

ΔE_f ... -0.25 eV/atom
Uncorrected energy ... -4.574 eV/atom


A plane-wave DFT calculation with PBE was carried out for crystalline PrHoAl6 at its relaxed geometry.

Lattice parameters (Å, degrees): 4.660 6.381 6.381 120.01 90.00 90.00
Fractional positions:
1 Al 0.000 0.608 0.392
2 Al 0.500 0.460 0.105
3 Al 0.000 0.608 0.966
4 Al 0.500 0.895 0.105
5 Al 0.000 0.034 0.392
6 Al 0.500 0.895 0.540
7 Pr 0.500 0.417 0.583
8 Ho 0.000 0.083 0.917

ΔE_f ... -0.42 eV/atom
Uncorrected energy ... -4.400 eV/atom


A plane-wave DFT calculation with PBE was carried out for crystalline PrHo5Al2 at its relaxed geometry.

Lattice parameters (Å, degrees): 3.578 8.259 8.259 76.18 77.49 77.49
Fractional positions:
1 Al 0.744 0.756 0.756
2 Al 0.256 0.244 0.244
3 Ho 0.638 0.138 0.586
4 Ho 0.362 0.414 0.862
5 Ho 0.362 0.862 0.414
6 Ho 0.000 0.500 0.500
7 Ho 0.638 0.586 0.138
8 Pr 0.000 0.000 0.000

ΔE_f ... -0.10 eV/atom
Uncorrected energy ... -4.495 eV/atom